Density functional theory data (PBE) for a relaxed structure of TlHg3GeTe4.

Crystal system ... monoclinic
ΔE to the lowest computed polymorph ... 0.0000 eV per atom
Symmetry ... P2_1/m, No. 11
DFT total energy ... -2.32 eV/atom

POSCAR file:
```
TlHg3GeTe4
1.0
-2.584 -3.416 6.640
-0.265 -7.129 -3.771
10.452 -0.619 0.436
Te Ge Tl Hg
8 2 2 6
direct
0.229 0.490 0.781
0.229 0.010 0.781
0.712 0.750 0.900
0.771 0.990 0.219
0.771 0.510 0.219
0.637 0.250 0.562
0.363 0.750 0.438
0.288 0.250 0.100
0.594 0.250 0.284
0.406 0.750 0.716
0.399 0.750 0.101
0.601 0.250 0.899
0.949 0.750 0.744
0.051 0.250 0.256
0.219 0.431 0.499
0.219 0.069 0.499
0.781 0.569 0.501
0.781 0.931 0.501
```